[1]
{
  "formula": "Tb4Sn2Hg5",
  "functional": "PBE-GGA",
  "state": "relaxed",
  "cell": [[-3.5542, -0.0906, -0.6819], [-1.4526, -1.8247, 7.8140], [-0.4583, 9.7880, 1.0877]],
  "species": ["Sn", "Sn", "Tb", "Tb", "Tb", "Tb", "Hg", "Hg", "Hg", "Hg", "Hg"],
  "fractional_positions": [[0.0000, 0.0814, 0.6370], [0.0000, 0.9186, 0.3630], [0.5000, 0.7359, 0.5751], [0.5000, 0.2641, 0.4249], [0.5000, 0.8072, 0.1112], [0.5000, 0.1928, 0.8888], [0.0000, 0.8428, 0.8536], [0.0000, 0.5393, 0.3129], [0.0000, 0.1572, 0.1464], [0.0000, 0.4607, 0.6871], [0.0000, 0.5000, 0.0000]],
  "vol_a3_per_cell": 289,
  "formation_energy_ev_per_atom": -0.4192,
  "energy_ev_per_atom": -2.968,
  "space_group": "P2/m, No. 10"
}

[2]
{
  "formula": "Nd6PIr2Cl3",
  "functional": "PBE-GGA",
  "state": "relaxed",
  "cell": [[-1.1803, -2.5170, 3.0359], [7.4825, -4.5374, -0.8528], [2.3913, 8.0636, 4.8242]],
  "species": ["P", "Ir", "Ir", "Cl", "Cl", "Cl", "Nd", "Nd", "Nd", "Nd", "Nd", "Nd"],
  "fractional_positions": [[0.5000, 0.0000, 0.0000], [0.1677, 0.3312, 0.3354], [0.8323, 0.6688, 0.6646], [0.1542, 0.8318, 0.3084], [0.8458, 0.1682, 0.6916], [0.5000, 0.5000, 0.0000], [0.3398, 0.8901, 0.6796], [0.6764, 0.5594, 0.3528], [0.6602, 0.1099, 0.3204], [0.9861, 0.7649, 0.9722], [0.0139, 0.2351, 0.0278], [0.3236, 0.4406, 0.6472]],
  "vol_a3_per_cell": 330,
  "e_form_raw_mev_per_atom": -1293.7,
  "energy_ev_per_atom": -6.067,
  "space_group": "C2/m, No. 12"
}

[3]
{
  "formula": "NiPtCl2",
  "functional": "PBE-GGA",
  "state": "relaxed",
  "cell": [[-1.2214, -4.2868, 1.8121], [3.3436, -1.5751, -3.0809], [3.3629, -2.6243, 1.6830]],
  "species": ["Cl", "Cl", "Ni", "Pt"],
  "fractional_positions": [[0.0000, 0.0000, 0.0000], [0.5000, 0.5000, 0.0000], [0.5000, 0.0000, 0.5000], [0.0000, 0.5000, 0.5000]],
  "vol_a3_per_cell": 75,
  "e_form_raw_mev_per_atom": 296.2,
  "energy_ev_per_atom": -3.583,
  "space_group": "C2/m, No. 12"
}

[4]
{
  "formula": "La8SnGe5",
  "functional": "PBE-GGA",
  "state": "relaxed",
  "cell": [[7.7330, 0.0000, -2.6926], [-3.8425, 6.6884, -2.7478], [-0.0481, 0.0000, 8.1882]],
  "species": ["La", "La", "La", "La", "La", "La", "La", "La", "Ge", "Ge", "Ge", "Ge", "Ge", "Sn"],
  "fractional_positions": [[0.6279, 0.3807, 0.8756], [0.1244, 0.7523, 0.5051], [0.9848, 0.1057, 0.7421], [0.7529, 0.2477, 0.3721], [0.2579, 0.2427, 0.3637], [0.1209, 0.7573, 0.0152], [0.6363, 0.8943, 0.8791], [0.4949, 0.6193, 0.2471], [0.8741, 0.8759, 0.2495], [0.5000, 0.0000, 0.5000], [0.3736, 0.1241, 0.9982], [0.7505, 0.6247, 0.6264], [0.0018, 0.3753, 0.1259], [0.2500, 0.5000, 0.7500]],
  "vol_a3_per_cell": 423,
  "formation_energy_ev_per_atom": -0.8178,
  "energy_ev_per_atom": -5.568,
  "space_group": "I-4, No. 82"
}